Below is TlOsPb2 after structural relaxation, with properties calculated at the GGA-PBEsol level.

Values from the calculation:
space group = No. 139
total magnetization = 0.00 μB/atom
E_form = 82.2 kJ/mol of atoms
N(E_F) = 0.788 states/eV/atom
excess energy over the best structure of this formula in the dataset = 0.980 eV per formula unit

abc: 4.909 4.909 4.909
angles: 112.74 112.74 103.11
Positions (direct):
Tl 0.000 0.000 0.000
Os 0.500 0.500 0.000
Pb 0.250 0.750 0.500
Pb 0.750 0.250 0.500